Entry 1:
Here is an optimized crystal structure of ThScTcOs from Alexandria via LeMat-Bulk. Energies are from PBE.

Computed properties:
uncorrected energy = -9.0734 eV per atom

Lattice parameters (Å, degrees): 6.7877 6.7877 6.7877 90.00 90.00 90.00
With the nearest neighbours (Å) after each atom.
Atoms (fractional coordinates):
Th 0.0000 0.0000 0.0000  4 Tc 2.94, 4 Os 2.94
Th 0.0000 0.5000 0.5000  4 Tc 2.94, 4 Os 2.94
Th 0.5000 0.0000 0.5000  4 Tc 2.94, 4 Os 2.94
Th 0.5000 0.5000 0.0000  4 Tc 2.94, 4 Os 2.94
Sc 0.0000 0.0000 0.5000  4 Os 2.94, 4 Tc 2.94
Sc 0.0000 0.5000 0.0000  4 Os 2.94, 4 Tc 2.94
Sc 0.5000 0.0000 0.0000  4 Os 2.94, 4 Tc 2.94
Sc 0.5000 0.5000 0.5000  4 Os 2.94, 4 Tc 2.94
Tc 0.2500 0.2500 0.7500  4 Th 2.94, 4 Sc 2.94
Tc 0.2500 0.7500 0.2500  4 Th 2.94, 4 Sc 2.94
Tc 0.7500 0.2500 0.2500  4 Th 2.94, 4 Sc 2.94
Tc 0.7500 0.7500 0.7500  4 Th 2.94, 4 Sc 2.94
Os 0.2500 0.2500 0.2500  4 Th 2.94, 4 Sc 2.94
Os 0.2500 0.7500 0.7500  4 Th 2.94, 4 Sc 2.94
Os 0.7500 0.2500 0.7500  4 Th 2.94, 4 Sc 2.94
Os 0.7500 0.7500 0.2500  4 Th 2.94, 4 Sc 2.94

***

Entry 2:
Here is an optimized crystal structure of ScUTcOs from Alexandria via LeMat-Bulk. Energies are from PBE.

Computed properties:
distance to the lowest polymorph of the same formula = 0.00 eV/f.u.

Lattice parameters (Å, degrees): 3.3581 3.3581 6.4964 90.00 90.00 90.00
With the nearest neighbours (Å) after each atom.
Atoms (fractional coordinates):
Sc 0.0000 0.0000 0.0000  4 Os 2.93, 4 Tc 2.97, 2 U 3.24-3.26
U 0.0000 0.0000 0.4989  4 Tc 2.79, 4 Os 2.82
Tc 0.5000 0.5000 0.7247  4 U 2.79, 4 Sc 2.97, 1 Os 2.99
Os 0.5000 0.5000 0.2646  4 U 2.82, 4 Sc 2.93, 1 Tc 2.99

***

Entry 3:
Here is an optimized crystal structure of ScUTcOs from Alexandria via LeMat-Bulk. Energies are from PBE.

Computed properties:
distance to the lowest polymorph of the same formula = 0.15 eV/f.u.

Lattice parameters (Å, degrees): 6.6269 6.6269 6.6269 90.00 90.00 90.00
With the nearest neighbours (Å) after each atom.
Atoms (fractional coordinates):
Sc 0.0000 0.0000 0.0000  4 Os 2.87, 4 Tc 2.87
Sc 0.0000 0.5000 0.5000  4 Os 2.87, 4 Tc 2.87
Sc 0.5000 0.0000 0.5000  4 Os 2.87, 4 Tc 2.87
Sc 0.5000 0.5000 0.0000  4 Os 2.87, 4 Tc 2.87
U 0.0000 0.0000 0.5000  4 Tc 2.87, 4 Os 2.87
U 0.0000 0.5000 0.0000  4 Tc 2.87, 4 Os 2.87
U 0.5000 0.0000 0.0000  4 Tc 2.87, 4 Os 2.87
U 0.5000 0.5000 0.5000  4 Tc 2.87, 4 Os 2.87
Tc 0.2500 0.2500 0.2500  4 U 2.87, 4 Sc 2.87
Tc 0.2500 0.7500 0.7500  4 U 2.87, 4 Sc 2.87
Tc 0.7500 0.2500 0.7500  4 U 2.87, 4 Sc 2.87
Tc 0.7500 0.7500 0.2500  4 U 2.87, 4 Sc 2.87
Os 0.2500 0.2500 0.7500  4 U 2.87, 4 Sc 2.87
Os 0.2500 0.7500 0.2500  4 U 2.87, 4 Sc 2.87
Os 0.7500 0.2500 0.2500  4 U 2.87, 4 Sc 2.87
Os 0.7500 0.7500 0.7500  4 Sc 2.87, 4 U 2.87

***

Entry 4:
Here is an optimized crystal structure of ScVTcOs from Alexandria via LeMat-Bulk. Energies are from PBE.

Computed properties:
uncorrected energy = -9.5535 eV per atom

Lattice parameters (Å, degrees): 6.2251 6.2251 6.2251 90.00 90.00 90.00
With the nearest neighbours (Å) after each atom.
Atoms (fractional coordinates):
Sc 0.0000 0.0000 0.0000  4 Tc 2.70, 4 Os 2.70
Sc 0.0000 0.5000 0.5000  4 Tc 2.70, 4 Os 2.70
Sc 0.5000 0.0000 0.5000  4 Tc 2.70, 4 Os 2.70
Sc 0.5000 0.5000 0.0000  4 Tc 2.70, 4 Os 2.70
V 0.0000 0.0000 0.5000  4 Tc 2.70, 4 Os 2.70
V 0.0000 0.5000 0.0000  4 Tc 2.70, 4 Os 2.70
V 0.5000 0.0000 0.0000  4 Tc 2.70, 4 Os 2.70
V 0.5000 0.5000 0.5000  4 Tc 2.70, 4 Os 2.70
Tc 0.2500 0.2500 0.2500  4 Sc 2.70, 4 V 2.70
Tc 0.2500 0.7500 0.7500  4 Sc 2.70, 4 V 2.70
Tc 0.7500 0.2500 0.7500  4 Sc 2.70, 4 V 2.70
Tc 0.7500 0.7500 0.2500  4 Sc 2.70, 4 V 2.70
Os 0.2500 0.2500 0.7500  4 Sc 2.70, 4 V 2.70
Os 0.2500 0.7500 0.2500  4 Sc 2.70, 4 V 2.70
Os 0.7500 0.2500 0.2500  4 Sc 2.70, 4 V 2.70
Os 0.7500 0.7500 0.7500  4 Sc 2.70, 4 V 2.70

***

Entry 5:
Here is an optimized crystal structure of ScTe2Os from Alexandria via LeMat-Bulk. Energies are from PBE.

Computed properties:
raw formation energy = 0.285 eV/atom
distance to the lowest polymorph of the same formula = 2.57 eV/f.u.

Lattice parameters (Å, degrees): 3.3840 3.3840 26.2408 90.00 90.00 120.00
With the nearest neighbours (Å) after each atom.
Atoms (fractional coordinates):
Sc 0.0000 0.0000 0.0000  6 Te 3.11, 6 Sc 3.38
Sc 0.3333 0.6667 0.6667  6 Te 3.11, 6 Sc 3.38
Sc 0.6667 0.3333 0.3333  6 Te 3.11, 6 Sc 3.38
Te 0.0000 0.0000 0.2413  3 Os 2.77
Te 0.0000 0.0000 0.7587  3 Os 2.77
Te 0.3333 0.6667 0.4254  3 Os 2.77
Te 0.3333 0.6667 0.9079  3 Os 2.77
Te 0.6667 0.3333 0.0921  3 Os 2.77
Te 0.6667 0.3333 0.5746  3 Os 2.77
Os 0.0000 0.0000 0.5000  6 Te 2.77
Os 0.3333 0.6667 0.1667  6 Te 2.77
Os 0.6667 0.3333 0.8333  6 Te 2.77

***

Entry 6:
Here is an optimized crystal structure of ScTe2Os from Alexandria via LeMat-Bulk. Energies are from PBE.

Computed properties:
raw formation energy = 0.160 eV/atom
distance to the lowest polymorph of the same formula = 2.07 eV/f.u.

Lattice parameters (Å, degrees): 4.0343 4.0343 10.2354 90.00 90.00 90.00
With the nearest neighbours (Å) after each atom.
Atoms (fractional coordinates):
Sc 0.0000 0.0000 0.0000  4 Te 2.85
Sc 0.5000 0.5000 0.5000  4 Te 2.85
Te 0.0000 0.0000 0.5000  4 Sc 2.85
Te 0.0000 0.5000 0.7500  4 Os 2.85
Te 0.5000 0.0000 0.2500  4 Os 2.85
Te 0.5000 0.5000 0.0000  4 Sc 2.85
Os 0.0000 0.5000 0.2500  4 Te 2.85
Os 0.5000 0.0000 0.7500  4 Te 2.85

***

Entry 7:
Here is an optimized crystal structure of ScTe2Os from Alexandria via LeMat-Bulk. Energies are from PBE.

Computed properties:
raw formation energy = -0.229 eV/atom
distance to the lowest polymorph of the same formula = 0.51 eV/f.u.

Lattice parameters (Å, degrees): 3.2023 3.2023 9.2920 90.00 90.00 90.00
With the nearest neighbours (Å) after each atom.
Atoms (fractional coordinates):
Sc 0.0000 0.0000 0.0000  4 Os 2.93, 4 Te 3.14, 4 Sc 3.20
Te 0.0000 0.0000 0.6317  4 Os 2.75
Te 0.5000 0.5000 0.2337  4 Sc 3.14, 4 Te 3.20
Os 0.5000 0.5000 0.8001  4 Te 2.75, 4 Sc 2.93

***

Entry 8:
Here is an optimized crystal structure of ScTe2Os from Alexandria via LeMat-Bulk. Energies are from PBE.

Computed properties:
raw formation energy = -0.114 eV/atom
distance to the lowest polymorph of the same formula = 0.97 eV/f.u.

Lattice parameters (Å, degrees): 4.8425 4.8425 3.4002 90.00 90.00 90.00
With the nearest neighbours (Å) after each atom.
Atoms (fractional coordinates):
Sc 0.0000 0.0000 0.0000  8 Te 2.96
Te 0.0000 0.5000 0.5000  4 Os 2.96, 4 Sc 2.96
Te 0.5000 0.0000 0.5000  4 Os 2.96, 4 Sc 2.96
Os 0.5000 0.5000 0.0000  8 Te 2.96

***

Entry 9:
Here is an optimized crystal structure of ScTe4Os from Alexandria via LeMat-Bulk. Energies are from PBE.

Computed properties:
raw formation energy = 1.087 eV/atom

Lattice parameters (Å, degrees): 6.1332 6.1332 6.1332 60.00 60.00 60.00
With the nearest neighbours (Å) after each atom.
Atoms (fractional coordinates):
Sc 0.0000 0.0000 0.0000  12 Te 3.60, 4 Os 3.76
Te 0.1269 0.6244 0.6244  6 Te 3.05-3.08
Te 0.6244 0.1269 0.6244  6 Te 3.05-3.08
Te 0.6244 0.6244 0.1269  6 Te 3.05-3.08
Te 0.6244 0.6244 0.6244  6 Te 3.05-3.08
Os 0.2500 0.2500 0.2500  12 Te 3.59, 4 Sc 3.76

***

Entry 10:
Here is an optimized crystal structure of ScTe2Os from Alexandria via LeMat-Bulk. Energies are from PBE.

Computed properties:
raw formation energy = 0.176 eV/atom
distance to the lowest polymorph of the same formula = 2.13 eV/f.u.

Lattice parameters (Å, degrees): 4.4565 5.2271 7.1107 90.00 90.00 90.00
With the nearest neighbours (Å) after each atom.
Atoms (fractional coordinates):
Sc 0.0000 0.0000 0.0000  8 Te 2.92-3.22
Sc 0.5000 0.5000 0.0000  8 Te 2.92-3.22
Te 0.0000 0.5000 0.2653  4 Os 2.78-3.10, 2 Sc 2.92
Te 0.0000 0.5000 0.7347  4 Os 2.78-3.10, 2 Sc 2.92
Te 0.5000 0.0000 0.2653  4 Os 2.78-3.10, 2 Sc 2.92
Te 0.5000 0.0000 0.7347  4 Os 2.78-3.10, 2 Sc 2.92
Os 0.0000 0.0000 0.5000  8 Te 2.78-3.10
Os 0.5000 0.5000 0.5000  8 Te 2.78-3.10

***

Entry 11:
Here is an optimized crystal structure of ScTe2Os from Alexandria via LeMat-Bulk. Energies are from PBE.

Computed properties:
raw formation energy = -0.122 eV/atom
distance to the lowest polymorph of the same formula = 0.94 eV/f.u.

Lattice parameters (Å, degrees): 3.2443 4.2937 13.7116 90.00 90.00 90.00
With the nearest neighbours (Å) after each atom.
Atoms (fractional coordinates):
Sc 0.0000 0.0000 0.0000  2 Os 2.80, 2 Te 2.92
Sc 0.5000 0.5000 0.5000  2 Os 2.80, 2 Te 2.92
Te 0.0000 0.0000 0.6176  4 Sc 3.14, 2 Te 3.24, 2 Os 3.38
Te 0.0000 0.5000 0.8560  4 Os 2.71, 2 Sc 2.92
Te 0.5000 0.0000 0.3560  4 Os 2.71, 2 Sc 2.92
Te 0.5000 0.5000 0.1176  4 Sc 3.14, 2 Te 3.24, 2 Os 3.38
Os 0.0000 0.5000 0.3337  4 Te 2.71, 2 Sc 2.80
Os 0.5000 0.0000 0.8337  4 Te 2.71, 2 Sc 2.80

***

Entry 12:
Here is an optimized crystal structure of ScTe2Os from Alexandria via LeMat-Bulk. Energies are from PBE.

Computed properties:
raw formation energy = 0.108 eV/atom
distance to the lowest polymorph of the same formula = 1.86 eV/f.u.

Lattice parameters (Å, degrees): 5.2367 5.2367 15.7386 90.00 90.00 90.00
With the nearest neighbours (Å) after each atom.
Atoms (fractional coordinates):
Sc 0.0000 0.0000 0.0000  4 Te 2.80
Sc 0.0000 0.5000 0.2500  4 Te 2.80
Sc 0.5000 0.0000 0.7500  4 Te 2.80
Sc 0.5000 0.5000 0.5000  4 Te 2.80
Te 0.2116 0.2500 0.6250  2 Os 2.61, 2 Sc 2.80
Te 0.2500 0.7116 0.8750  2 Os 2.61, 2 Sc 2.80
Te 0.2500 0.7884 0.3750  2 Os 2.61, 2 Sc 2.80
Te 0.2884 0.2500 0.1250  2 Os 2.61, 2 Sc 2.80
Te 0.7116 0.7500 0.1250  2 Os 2.61, 2 Sc 2.80
Te 0.7500 0.2116 0.3750  2 Os 2.61, 2 Sc 2.80
Te 0.7500 0.2884 0.8750  2 Os 2.61, 2 Sc 2.80
Te 0.7884 0.7500 0.6250  2 Os 2.61, 2 Sc 2.80
Os 0.0000 0.0000 0.5000  4 Te 2.61
Os 0.0000 0.5000 0.7500  4 Te 2.61
Os 0.5000 0.0000 0.2500  4 Te 2.61
Os 0.5000 0.5000 0.0000  4 Te 2.61